DFT (PBE) results for crystalline Pm2CdPO8 at its relaxed geometry.

abc: 5.165 5.165 6.548
angles: 90.00 90.00 120.00
Site moments in Bohr magnetons follow the coordinates.
Fractional coordinates of all 12 atoms:
1 Pm 0.333 0.667 0.852  -0.01
2 O 0.155 0.845 0.151  0.18
3 Cd 0.000 0.000 0.500  -0.03
4 O 0.845 0.691 0.849  0.18
5 O 0.333 0.667 0.509  0.79
6 Pm 0.667 0.333 0.148  -0.01
7 O 0.309 0.155 0.849  0.18
8 O 0.155 0.309 0.151  0.18
9 O 0.691 0.845 0.151  0.18
10 P 0.000 0.000 0.000  -0.01
11 O 0.845 0.155 0.849  0.18
12 O 0.667 0.333 0.491  0.79

Output
- Energy: -76.75 eV/cell
- Crystal system: trigonal
- Energy relative to the elements, uncorrected: -1.77 eV/atom
- DOS at the Fermi energy: 7.71 states/eV/cell